# 1
Crystalline LiEuGaGe at its relaxed geometry, computed with PBE-GGA.

abc: 6.9977 6.9977 6.9977
angles: 90.00 90.00 90.00
With the nearest neighbours (Å) after each atom.
Space group F-43m (No. 216)
Unique sites:
1 Li 0.0000 0.0000 0.0000  4 Ga 3.03, 4 Ge 3.03
2 Eu 0.0000 0.0000 0.5000  4 Ge 3.03, 4 Ga 3.03
3 Ga 0.2500 0.2500 0.2500  4 Eu 3.03, 4 Li 3.03
4 Ge 0.2500 0.2500 0.7500  4 Li 3.03, 4 Eu 3.03

Results
raw total energy: -85.7 eV per cell



# 2
Crystalline EuLuGaGe at its relaxed geometry, computed with PBE-GGA.

abc: 7.2060 7.2060 7.2060
angles: 90.00 90.00 90.00
With the nearest neighbours (Å) after each atom.
Space group F-43m (No. 216)
Unique sites:
1 Eu 0.0000 0.0000 0.0000  4 Ge 3.12, 4 Ga 3.12
2 Lu 0.0000 0.0000 0.5000  4 Ge 3.12, 4 Ga 3.12
3 Ga 0.2500 0.2500 0.2500  4 Eu 3.12, 4 Lu 3.12
4 Ge 0.2500 0.2500 0.7500  4 Eu 3.12, 4 Lu 3.12

Results
raw total energy: -97.9 eV per cell



# 3
Crystalline NaEuGaGe at its relaxed geometry, computed with PBE-GGA.

abc: 7.2659 7.2659 7.2659
angles: 90.00 90.00 90.00
With the nearest neighbours (Å) after each atom.
Space group F-43m (No. 216)
Unique sites:
1 Na 0.0000 0.0000 0.0000  4 Ge 3.15, 4 Ga 3.15
2 Eu 0.0000 0.0000 0.5000  4 Ge 3.15, 4 Ga 3.15
3 Ga 0.2500 0.2500 0.2500  4 Na 3.15, 4 Eu 3.15
4 Ge 0.2500 0.2500 0.7500  4 Na 3.15, 4 Eu 3.15

Results
raw total energy: -81.6 eV per cell



# 4
Crystalline NdEuGaGe at its relaxed geometry, computed with PBE-GGA.

abc: 7.4112 7.4112 7.4112
angles: 90.00 90.00 90.00
With the nearest neighbours (Å) after each atom.
Space group F-43m (No. 216)
Unique sites:
1 Nd 0.0000 0.0000 0.0000  4 Ge 3.21, 4 Ga 3.21
2 Eu 0.0000 0.0000 0.5000  4 Ge 3.21, 4 Ga 3.21
3 Ga 0.2500 0.2500 0.2500  4 Nd 3.21, 4 Eu 3.21
4 Ge 0.2500 0.2500 0.7500  4 Nd 3.21, 4 Eu 3.21

Results
raw total energy: -99.3 eV per cell



# 5
Crystalline EuPaGaGe at its relaxed geometry, computed with PBE-GGA.

abc: 7.2311 7.2311 7.2311
angles: 90.00 90.00 90.00
With the nearest neighbours (Å) after each atom.
Space group F-43m (No. 216)
Unique sites:
1 Eu 0.0000 0.0000 0.0000  4 Ga 3.13, 4 Ge 3.13
2 Pa 0.0000 0.0000 0.5000  4 Ge 3.13, 4 Ga 3.13
3 Ga 0.2500 0.2500 0.2500  4 Pa 3.13, 4 Eu 3.13
4 Ge 0.2500 0.2500 0.7500  4 Eu 3.13, 4 Pa 3.13

Results
raw total energy: -113.6 eV per cell



# 6
Crystalline PmEuGaGe at its relaxed geometry, computed with PBE-GGA.

abc: 7.3812 7.3812 7.3812
angles: 90.00 90.00 90.00
With the nearest neighbours (Å) after each atom.
Space group F-43m (No. 216)
Unique sites:
1 Pm 0.0000 0.0000 0.0000  4 Ge 3.20, 4 Ga 3.20
2 Eu 0.0000 0.0000 0.5000  4 Ge 3.20, 4 Ga 3.20
3 Ga 0.2500 0.2500 0.2500  4 Pm 3.20, 4 Eu 3.20
4 Ge 0.2500 0.2500 0.7500  4 Pm 3.20, 4 Eu 3.20

Results
raw total energy: -99.3 eV per cell



# 7
Crystalline PrEuGaGe at its relaxed geometry, computed with PBE-GGA.

abc: 7.4417 7.4417 7.4417
angles: 90.00 90.00 90.00
With the nearest neighbours (Å) after each atom.
Space group F-43m (No. 216)
Unique sites:
1 Pr 0.0000 0.0000 0.0000  4 Ga 3.22, 4 Ge 3.22
2 Eu 0.0000 0.0000 0.5000  4 Ge 3.22, 4 Ga 3.22
3 Ga 0.2500 0.2500 0.2500  4 Eu 3.22, 4 Pr 3.22
4 Ge 0.2500 0.2500 0.7500  4 Pr 3.22, 4 Eu 3.22

Results
raw total energy: -99.3 eV per cell



# 8
Crystalline EuPuGaGe at its relaxed geometry, computed with PBE-GGA.

abc: 7.2902 7.2902 7.2902
angles: 90.00 90.00 90.00
With the nearest neighbours (Å) after each atom.
Space group F-43m (No. 216)
Unique sites:
1 Eu 0.0000 0.0000 0.0000  4 Ge 3.16, 4 Ga 3.16
2 Pu 0.0000 0.0000 0.5000  4 Ge 3.16, 4 Ga 3.16
3 Ga 0.2500 0.2500 0.2500  4 Pu 3.16, 4 Eu 3.16
4 Ge 0.2500 0.2500 0.7500  4 Pu 3.16, 4 Eu 3.16

Results
raw total energy: -134.8 eV per cell



# 9
Crystalline SrEuGaGe at its relaxed geometry, computed with PBE-GGA.

abc: 7.6186 7.6186 7.6186
angles: 90.00 90.00 90.00
With the nearest neighbours (Å) after each atom.
Space group F-43m (No. 216)
Unique sites:
1 Sr 0.0000 0.0000 0.0000  4 Ge 3.30, 4 Ga 3.30
2 Eu 0.0000 0.0000 0.5000  4 Ge 3.30, 4 Ga 3.30
3 Ga 0.2500 0.2500 0.2500  4 Sr 3.30, 4 Eu 3.30
4 Ge 0.2500 0.2500 0.7500  4 Sr 3.30, 4 Eu 3.30

Results
raw total energy: -85.4 eV per cell



# 10
Crystalline TbEuGaGe at its relaxed geometry, computed with PBE-GGA.

abc: 7.2961 7.2961 7.2961
angles: 90.00 90.00 90.00
With the nearest neighbours (Å) after each atom.
Space group F-43m (No. 216)
Unique sites:
1 Tb 0.0000 0.0000 0.0000  4 Ge 3.16, 4 Ga 3.16
2 Eu 0.0000 0.0000 0.5000  4 Ga 3.16, 4 Ge 3.16
3 Ga 0.2500 0.2500 0.2500  4 Tb 3.16, 4 Eu 3.16
4 Ge 0.2500 0.2500 0.7500  4 Tb 3.16, 4 Eu 3.16

Results
raw total energy: -98.8 eV per cell



# 11
Crystalline EuTmGaGe at its relaxed geometry, computed with PBE-GGA.

abc: 7.2313 7.2313 7.2313
angles: 90.00 90.00 90.00
With the nearest neighbours (Å) after each atom.
Space group F-43m (No. 216)
Unique sites:
1 Eu 0.0000 0.0000 0.0000  4 Ge 3.13, 4 Ga 3.13
2 Tm 0.0000 0.0000 0.5000  4 Ge 3.13, 4 Ga 3.13
3 Ga 0.2500 0.2500 0.7500  4 Tm 3.13, 4 Eu 3.13
4 Ge 0.2500 0.2500 0.2500  4 Tm 3.13, 4 Eu 3.13

Results
raw total energy: -97.9 eV per cell



# 12
Crystalline EuGa2H6 at its relaxed geometry, computed with PBE-GGA.

abc: 7.4025 7.4025 7.4025
angles: 90.00 90.00 90.00
With the nearest neighbours (Å) after each atom.
Space group Fm-3m (No. 225)
Unique sites:
1 Eu 0.0000 0.0000 0.0000  6 H 2.12
2 Ga 0.2500 0.2500 0.2500  12 H 2.63
3 H 0.0000 0.0000 0.2868  1 Eu 2.12, 4 H 2.23

Results
raw total energy: -123.2 eV per cell



# 13
Crystalline Eu3Ga5H12 at its relaxed geometry, computed with PBE-GGA.

abc: 12.7884 12.7884 12.7884
angles: 90.00 90.00 90.00
With the nearest neighbours (Å) after each atom.
Space group Ia-3d (No. 230)
Unique sites:
1 Eu 0.0000 0.2500 0.1250  8 H 2.46-2.47
2 Ga 0.0000 0.0000 0.0000  6 H 2.53
3 Ga 0.0000 0.2500 0.3750  4 H 1.66
4 H 0.0406 0.0700 0.6803  1 Ga 1.66

Results
raw total energy: -696.4 eV per cell



# 14
Crystalline Eu3GaH at its relaxed geometry, computed with PBE-GGA.

abc: 5.0000 5.0000 5.0000
angles: 90.00 90.00 90.00
With the nearest neighbours (Å) after each atom.
Space group Pm-3m (No. 221)
Unique sites:
1 Eu 0.0000 0.0000 0.5000  2 H 2.50
2 Ga 0.5000 0.5000 0.5000  12 Eu 3.54
3 H 0.0000 0.0000 0.0000  6 Eu 2.50

Results
raw total energy: -38.8 eV per cell



# 15
Crystalline EuHfGa4 at its relaxed geometry, computed with PBE-GGA.

abc: 7.6978 7.6978 7.6978
angles: 90.00 90.00 90.00
With the nearest neighbours (Å) after each atom.
Space group F-43m (No. 216)
Unique sites:
1 Eu 0.0000 0.0000 0.0000  12 Ga 3.19, 4 Hf 3.33
2 Hf 0.2500 0.2500 0.7500  12 Ga 3.19, 4 Eu 3.33
3 Ga 0.1247 0.1247 0.3753  6 Ga 2.71-2.73

Results
raw total energy: -137.1 eV per cell



# 16
Crystalline EuHfGa2 at its relaxed geometry, computed with PBE-GGA.

abc: 3.4467 3.4467 26.8765
angles: 90.00 90.00 120.00
With the nearest neighbours (Å) after each atom.
Space group R-3m (No. 166, hexagonal axes)
Unique sites:
1 Eu 0.0000 0.0000 0.0000  6 Ga 3.13, 6 Eu 3.45
2 Hf 0.0000 0.0000 0.5000  6 Ga 2.86
3 Ga 0.0000 0.0000 0.2433  3 Hf 2.86, 3 Eu 3.13

Results
raw total energy: -81.0 eV per cell
energy relative to the lowest polymorph listed for this composition: 0.744 eV/f.u.



# 17
Crystalline EuHfGa2 at its relaxed geometry, computed with PBE-GGA.

abc: 3.5741 3.5741 6.8627
angles: 90.00 90.00 90.00
With the nearest neighbours (Å) after each atom.
Space group P4/mmm (No. 123)
Unique sites:
1 Eu 0.0000 0.0000 0.0000  8 Ga 3.24, 2 Hf 3.43, 4 Eu 3.57
2 Hf 0.0000 0.0000 0.5000  8 Ga 2.89
3 Ga 0.5000 0.5000 0.2948  1 Ga 2.82, 4 Hf 2.89

Results
raw total energy: -27.8 eV per cell
energy relative to the lowest polymorph listed for this composition: 0.000 eV/f.u.



# 18
Crystalline EuGaHg at its relaxed geometry, computed with PBE-GGA.

abc: 6.9136 6.9136 6.9136
angles: 90.00 90.00 90.00
With the nearest neighbours (Å) after each atom.
Space group F-43m (No. 216)
Unique sites:
1 Eu 0.0000 0.0000 0.0000  4 Ga 2.99
2 Ga 0.2500 0.2500 0.7500  4 Hg 2.99, 4 Eu 2.99
3 Hg 0.0000 0.0000 0.5000  4 Ga 2.99

Results
raw total energy: -58.0 eV per cell
energy relative to the lowest polymorph listed for this composition: 0.541 eV/f.u.



# 19
Crystalline Eu2GaHg at its relaxed geometry, computed with PBE-GGA.

abc: 3.9372 3.9372 27.9968
angles: 90.00 90.00 120.00
With the nearest neighbours (Å) after each atom.
Space group R-3m (No. 166, hexagonal axes)
Unique sites:
1 Eu 0.0000 0.0000 0.2460  3 Ga 3.18, 3 Hg 3.34
2 Ga 0.0000 0.0000 0.5000  6 Eu 3.18
3 Hg 0.0000 0.0000 0.0000  6 Eu 3.34

Results
raw total energy: -75.3 eV per cell



# 20
Crystalline EuGaHg at its relaxed geometry, computed with PBE-GGA.

abc: 4.8088 4.8088 3.7890
angles: 90.00 90.00 120.00
With the nearest neighbours (Å) after each atom.
Space group P-6m2 (No. 187)
Unique sites:
1 Eu 0.0000 0.0000 0.0000  6 Ga 3.36, 6 Hg 3.36
2 Ga 0.3333 0.6667 0.5000  3 Hg 2.78
3 Hg 0.6667 0.3333 0.5000  3 Ga 2.78

Results
raw total energy: -15.0 eV per cell
energy relative to the lowest polymorph listed for this composition: 0.000 eV/f.u.



# 21
Crystalline Eu2GaHg at its relaxed geometry, computed with PBE-GGA.

abc: 7.6707 7.6707 7.6707
angles: 90.00 90.00 90.00
With the nearest neighbours (Å) after each atom.
Space group Fm-3m (No. 225)
Unique sites:
1 Eu 0.2500 0.2500 0.2500  4 Hg 3.32, 4 Ga 3.32
2 Ga 0.0000 0.0000 0.0000  8 Eu 3.32
3 Hg 0.0000 0.0000 0.5000  8 Eu 3.32

Results
raw total energy: -103.5 eV per cell



# 22
Crystalline EuGaHg at its relaxed geometry, computed with PBE-GGA.

abc: 3.7207 3.7207 11.1157
angles: 90.00 90.00 90.00
With the nearest neighbours (Å) after each atom.
Space group I4mm (No. 107)
Unique sites:
1 Eu 0.0000 0.0000 0.0000  5 Ga 3.30-3.57, 5 Hg 3.34-3.50
2 Ga 0.0000 0.0000 0.6790  4 Hg 3.03, 4 Eu 3.30
3 Hg 0.0000 0.0000 0.3150  4 Ga 3.03, 4 Eu 3.34

Results
raw total energy: -29.3 eV per cell
energy relative to the lowest polymorph listed for this composition: 0.409 eV/f.u.



# 23
Crystalline Eu2GaHg at its relaxed geometry, computed with PBE-GGA.

abc: 3.8069 3.8069 7.7471
angles: 90.00 90.00 90.00
With the nearest neighbours (Å) after each atom.
Space group P4/mmm (No. 123)
Unique sites:
1 Eu 0.0000 0.0000 0.2375  4 Ga 3.26, 4 Hg 3.37
2 Ga 0.5000 0.5000 0.0000  8 Eu 3.26
3 Hg 0.5000 0.5000 0.5000  8 Eu 3.37

Results
raw total energy: -25.9 eV per cell



# 24
Crystalline EuInGaHg at its relaxed geometry, computed with PBE-GGA.

abc: 7.3505 7.3505 7.3505
angles: 90.00 90.00 90.00
With the nearest neighbours (Å) after each atom.
Space group F-43m (No. 216)
Unique sites:
1 Eu 0.0000 0.0000 0.0000  4 Hg 3.18, 4 Ga 3.18
2 In 0.0000 0.0000 0.5000  4 Ga 3.18, 4 Hg 3.18
3 Ga 0.2500 0.2500 0.7500  4 In 3.18, 4 Eu 3.18
4 Hg 0.2500 0.2500 0.2500  4 In 3.18, 4 Eu 3.18

Results
raw total energy: -71.3 eV per cell



# 25
Crystalline LaEuGaHg at its relaxed geometry, computed with PBE-GGA.

abc: 7.6937 7.6937 7.6937
angles: 90.00 90.00 90.00
With the nearest neighbours (Å) after each atom.
Space group F-43m (No. 216)
Unique sites:
1 La 0.0000 0.0000 0.0000  4 Hg 3.33, 4 Ga 3.33
2 Eu 0.0000 0.0000 0.5000  4 Ga 3.33, 4 Hg 3.33
3 Ga 0.2500 0.2500 0.7500  4 La 3.33, 4 Eu 3.33
4 Hg 0.2500 0.2500 0.2500  4 La 3.33, 4 Eu 3.33

Results
raw total energy: -82.4 eV per cell



# 26
Crystalline LiEuGaHg at its relaxed geometry, computed with PBE-GGA.

abc: 7.1951 7.1951 7.1951
angles: 90.00 90.00 90.00
With the nearest neighbours (Å) after each atom.
Space group F-43m (No. 216)
Unique sites:
1 Li 0.0000 0.0000 0.0000  4 Ga 3.12, 4 Hg 3.12
2 Eu 0.0000 0.0000 0.5000  4 Hg 3.12, 4 Ga 3.12
3 Ga 0.2500 0.2500 0.7500  4 Li 3.12, 4 Eu 3.12
4 Hg 0.2500 0.2500 0.2500  4 Li 3.12, 4 Eu 3.12

Results
raw total energy: -67.9 eV per cell